MgCo2As | GGA-PBE | relaxed

Results
VASP energy = -20.4 eV/f.u.
calculated density = 6.51 g/cm³
formation energy from the elements = 20.4 meV/atom

POSCAR file:
```
MgCo2As
1.0
-3.365 1.602 -0.215
-0.821 -1.412 2.337
1.285 3.250 4.096
Co As Mg
2 1 1
direct
0.000 0.615 0.527
0.000 0.885 0.973
0.500 0.750 0.750
0.500 0.250 0.250
```